(1)
The following is a DFT calculation (GGA-PBEsol) of Co2Ni after structural relaxation.

a b c (Å): 2.443 4.668 5.825
angles (deg): 104.13 90.00 105.17
Each line ends with the local moment (μB).
Positions (direct):
Ni (0.307, 0.613, 0.360)  1.61
Ni (0.693, 0.387, 0.640)  1.58
Co (0.971, 0.943, 0.696)  1.58
Co (0.362, 0.724, 0.974)  1.61
Co (0.638, 0.276, 0.026)  0.73
Co (0.029, 0.057, 0.304)  0.73

## Properties
V   10.337 Å³/atom
E_tot   -43.3 eV/cell
Theoretical density   9.5 g/cm³
Energy relative to the elements   0.00 eV per atom



(2)
The following is a DFT calculation (GGA-PBEsol) of Co5Ni after structural relaxation.

a b c (Å): 2.448 4.660 5.818
angles (deg): 104.16 89.99 105.30
Each line ends with the local moment (μB).
Positions (direct):
Ni (0.722, 0.444, 0.944)  0.76
Co (0.999, 0.999, 0.000)  1.61
Co (0.389, 0.778, 0.280)  1.57
Co (0.666, 0.333, 0.333)  1.57
Co (0.056, 0.111, 0.610)  1.57
Co (0.334, 0.667, 0.666)  1.59

## Properties
V   10.322 Å³/atom
E_tot   -44.9 eV/cell
Theoretical density   9.5 g/cm³
Energy relative to the elements   0.00 eV per atom



(3)
The following is a DFT calculation (GGA-PBEsol) of CoNi3 after structural relaxation.

a b c (Å): 3.988 4.907 4.907
angles (deg): 120.00 90.00 90.00
Each line ends with the local moment (μB).
Positions (direct):
Co (0.750, 0.667, 0.333)  1.71
Co (0.250, 0.333, 0.667)  1.71
Ni (0.750, 0.167, 0.335)  0.68
Ni (0.250, 0.833, 0.665)  0.68
Ni (0.750, 0.167, 0.833)  0.68
Ni (0.250, 0.833, 0.167)  0.68
Ni (0.750, 0.665, 0.833)  0.68
Ni (0.250, 0.335, 0.167)  0.68

## Properties
V   10.395 Å³/atom
E_tot   -52.3 eV/cell
Theoretical density   9.4 g/cm³
Energy relative to the elements   0.02 eV per atom



(4)
The following is a DFT calculation (GGA-PBEsol) of CoNi3 after structural relaxation.

a b c (Å): 2.440 4.239 4.242
angles (deg): 99.41 90.02 106.72
Each line ends with the local moment (μB).
Positions (direct):
Ni (0.749, 0.499, 0.248)  0.66
Ni (0.500, 0.000, 0.500)  0.63
Ni (0.251, 0.501, 0.752)  0.66
Co (0.000, 0.000, 0.000)  1.67

## Properties
V   10.352 Å³/atom
E_tot   -26.2 eV/cell
Theoretical density   9.4 g/cm³
Energy relative to the elements   0.00 eV per atom



(5)
The following is a DFT calculation (GGA-PBEsol) of Co2Ni after structural relaxation.

a b c (Å): 2.445 2.445 5.998
angles (deg): 90.00 90.00 120.00
Each line ends with the local moment (μB).
Positions (direct):
Ni (0.000, 0.000, 0.000)  0.68
Co (0.667, 0.333, 0.337)  1.61
Co (0.333, 0.667, 0.663)  1.61

## Properties
V   10.354 Å³/atom
E_tot   -21.6 eV/cell
Theoretical density   9.4 g/cm³
Energy relative to the elements   0.00 eV per atom



(6)
The following is a DFT calculation (GGA-PBEsol) of Co3Ni after structural relaxation.

a b c (Å): 2.438 2.438 6.967
angles (deg): 90.00 90.00 90.00
Each line ends with the local moment (μB).
Positions (direct):
Ni (0.500, 0.500, 0.000)  0.69
Co (0.000, 0.000, 0.748)  1.63
Co (0.000, 0.000, 0.252)  1.63
Co (0.500, 0.500, 0.500)  1.57

## Properties
V   10.349 Å³/atom
E_tot   -29.3 eV/cell
Theoretical density   9.4 g/cm³
Energy relative to the elements   0.01 eV per atom



(7)
The following is a DFT calculation (GGA-PBEsol) of CoNiO3 after structural relaxation.

a b c (Å): 4.778 4.778 5.133
angles (deg): 62.26 62.26 60.00
Each line ends with the local moment (μB).
Positions (direct):
Ni (0.648, 0.648, 0.056)  0.72
Ni (0.352, 0.352, 0.944)  0.72
Co (0.847, 0.847, 0.460)  0.08
Co (0.153, 0.153, 0.540)  0.08
O (0.444, 0.760, 0.743)  0.06
O (0.052, 0.444, 0.743)  0.06
O (0.760, 0.052, 0.743)  0.06
O (0.556, 0.240, 0.257)  0.06
O (0.240, 0.948, 0.257)  0.06
O (0.948, 0.556, 0.257)  0.06

## Properties
V   8.559 Å³/atom
E_tot   -68.9 eV/cell
Theoretical density   6.4 g/cm³
Formation energy without anion corrections   -960 meV per atom



(8)
The following is a DFT calculation (GGA-PBEsol) of Co2NiO6 after structural relaxation.

a b c (Å): 2.789 5.518 6.217
angles (deg): 102.47 102.96 90.00
Each line ends with the local moment (μB).
Positions (direct):
Ni (0.500, 0.000, 0.000)  0.01
Co (0.167, 0.334, 0.334)  0.73
Co (0.833, 0.666, 0.666)  0.73
O (0.657, 0.109, 0.314)  0.07
O (0.343, 0.891, 0.686)  0.07
O (0.989, 0.772, 0.978)  0.03
O (0.011, 0.228, 0.022)  0.03
O (0.323, 0.441, 0.646)  0.08
O (0.677, 0.559, 0.354)  0.08

## Properties
V   10.105 Å³/atom
E_tot   -60.5 eV/cell
Theoretical density   5.0 g/cm³
Formation energy without anion corrections   -818 meV per atom



(9)
The following is a DFT calculation (GGA-PBEsol) of Co5NiO12 after structural relaxation.

a b c (Å): 4.823 4.829 9.056
angles (deg): 90.07 90.15 60.04
Each line ends with the local moment (μB).
Positions (direct):
Co (0.833, 0.333, 0.500)  0.65
Co (0.333, 0.333, 0.000)  0.75
Co (0.667, 0.667, 0.000)  0.75
Co (0.167, 0.667, 0.500)  0.65
Co (0.500, 0.000, 0.500)  0.65
Ni (0.000, 0.000, 0.000)  -0.02
O (0.000, 0.336, 0.102)  0.06
O (0.663, 0.336, 0.898)  0.06
O (0.833, 0.667, 0.399)  0.08
O (0.499, 0.333, 0.399)  0.08
O (0.501, 0.667, 0.601)  0.08
O (0.834, 0.000, 0.601)  0.08
O (0.167, 0.333, 0.601)  0.08
O (0.337, 0.664, 0.102)  0.06
O (0.664, 0.000, 0.102)  0.06
O (0.000, 0.664, 0.898)  0.06
O (0.336, 0.000, 0.898)  0.06
O (0.166, 0.000, 0.399)  0.08

## Properties
V   10.152 Å³/atom
E_tot   -123.1 eV/cell
Theoretical density   5.0 g/cm³
Formation energy without anion corrections   -850 meV per atom



(10)
The following is a DFT calculation (GGA-PBEsol) of Co2NiO6 after structural relaxation.

a b c (Å): 4.826 4.833 9.060
angles (deg): 90.00 90.00 119.95
Each line ends with the local moment (μB).
Positions (direct):
Co (0.667, 0.333, 0.500)  0.76
Co (0.833, 0.667, 0.000)  0.76
Co (0.167, 0.333, 0.000)  0.76
Co (0.333, 0.667, 0.500)  0.76
Ni (0.000, 0.000, 0.500)  -0.02
Ni (0.500, 0.000, 0.000)  -0.02
O (0.837, 0.000, 0.102)  0.06
O (0.663, 0.000, 0.602)  0.06
O (0.337, 0.000, 0.398)  0.06
O (0.163, 0.000, 0.898)  0.06
O (0.000, 0.336, 0.398)  0.06
O (0.836, 0.336, 0.898)  0.06
O (0.500, 0.336, 0.102)  0.06
O (0.336, 0.336, 0.602)  0.06
O (0.000, 0.664, 0.602)  0.06
O (0.664, 0.664, 0.398)  0.06
O (0.500, 0.664, 0.898)  0.06
O (0.164, 0.664, 0.102)  0.06

## Properties
V   10.171 Å³/atom
E_tot   -121.0 eV/cell
Theoretical density   4.9 g/cm³
Formation energy without anion corrections   -820 meV per atom



(11)
The following is a DFT calculation (GGA-PBEsol) of CoNi2O4 after structural relaxation.

a b c (Å): 5.680 5.680 5.680
angles (deg): 60.00 60.00 60.00
Each line ends with the local moment (μB).
Positions (direct):
Co (0.750, 0.750, 0.750)  2.26
Co (0.500, 0.500, 0.500)  2.26
Ni (0.125, 0.125, 0.625)  -0.71
Ni (0.125, 0.625, 0.125)  -0.71
Ni (0.125, 0.125, 0.125)  -0.71
Ni (0.625, 0.125, 0.125)  -0.71
O (0.883, 0.883, 0.883)  0.03
O (0.351, 0.883, 0.883)  0.03
O (0.367, 0.367, 0.899)  0.03
O (0.367, 0.899, 0.367)  0.03
O (0.883, 0.351, 0.883)  0.03
O (0.883, 0.883, 0.351)  0.03
O (0.367, 0.367, 0.367)  0.03
O (0.899, 0.367, 0.367)  0.03

## Properties
V   9.257 Å³/atom
E_tot   -94.7 eV/cell
Theoretical density   6.2 g/cm³
Formation energy without anion corrections   -899 meV per atom



(12)
The following is a DFT calculation (GGA-PBEsol) of Co2NiOsO after structural relaxation.

a b c (Å): 3.237 4.419 4.419
angles (deg): 90.00 90.00 90.00
Each line ends with the local moment (μB).
Positions (direct):
Ni (0.000, 0.000, 0.000)  0.46
Os (0.500, 0.500, 0.500)  1.38
O (0.500, 0.000, 0.000)  0.26
Co (0.000, 0.000, 0.500)  1.77
Co (0.000, 0.500, 0.000)  1.77

## Properties
V   12.643 Å³/atom
E_tot   -33.7 eV/cell
Theoretical density   10.1 g/cm³
Formation energy without anion corrections   1089 meV per atom



(13)
The following is a DFT calculation (GGA-PBEsol) of CoNiP4O12 after structural relaxation.

a b c (Å): 7.124 7.124 9.673
angles (deg): 98.38 109.98 109.76
Each line ends with the local moment (μB).
Positions (direct):
Co (0.809, 0.059, 0.750)  2.64
Co (0.191, 0.941, 0.250)  2.64
Ni (0.000, 0.000, 0.500)  1.62
Ni (0.000, 0.500, 0.000)  1.62
P (0.490, 0.294, 0.802)  0.01
P (0.992, 0.688, 0.698)  0.01
P (0.510, 0.706, 0.198)  0.01
P (0.008, 0.312, 0.302)  0.01
P (0.292, 0.250, 0.023)  0.01
P (0.728, 0.270, 0.477)  0.01
P (0.708, 0.750, 0.977)  0.01
P (0.272, 0.730, 0.523)  0.01
O (0.528, 0.533, 0.849)  0.01
O (0.184, 0.679, 0.651)  0.01
O (0.472, 0.467, 0.151)  0.01
O (0.816, 0.321, 0.349)  0.01
O (0.428, 0.203, 0.930)  0.01
O (0.773, 0.497, 0.570)  0.01
O (0.572, 0.797, 0.070)  0.01
O (0.227, 0.503, 0.430)  0.01
O (0.308, 0.190, 0.646)  0.04
O (0.044, 0.661, 0.854)  0.04
O (0.692, 0.810, 0.354)  0.04
O (0.956, 0.339, 0.146)  0.04
O (0.709, 0.287, 0.825)  0.08
O (0.963, 0.884, 0.675)  0.08
O (0.291, 0.713, 0.175)  0.08
O (0.037, 0.116, 0.325)  0.08
O (0.106, 0.292, 0.916)  0.09
O (0.877, 0.191, 0.584)  0.09
O (0.894, 0.708, 0.084)  0.09
O (0.123, 0.809, 0.416)  0.09
O (0.243, 0.084, 0.097)  0.05
O (0.488, 0.146, 0.403)  0.05
O (0.757, 0.916, 0.903)  0.05
O (0.512, 0.854, 0.597)  0.05

## Properties
V   11.522 Å³/atom
E_tot   -265.3 eV/cell
Theoretical density   3.5 g/cm³
Formation energy without anion corrections   -1811 meV per atom



(14)
The following is a DFT calculation (GGA-PBEsol) of CoNi2P2O8 after structural relaxation.

a b c (Å): 4.667 5.794 10.097
angles (deg): 91.07 90.00 90.00
Each line ends with the local moment (μB).
Positions (direct):
Co (0.513, 0.261, 0.475)  2.61
Co (0.013, 0.739, 0.525)  2.61
Ni (0.500, 0.999, 0.751)  1.54
Ni (0.000, 0.001, 0.249)  1.54
Ni (0.488, 0.745, 0.024)  1.61
Ni (0.988, 0.255, 0.976)  1.61
P (0.074, 0.244, 0.656)  0.01
P (0.574, 0.756, 0.344)  0.01
P (0.925, 0.751, 0.847)  0.01
P (0.425, 0.249, 0.153)  0.01
O (0.231, 0.026, 0.589)  0.16
O (0.731, 0.974, 0.411)  0.16
O (0.766, 0.969, 0.914)  0.17
O (0.266, 0.031, 0.086)  0.17
O (0.310, 0.245, 0.297)  0.12
O (0.810, 0.755, 0.703)  0.12
O (0.693, 0.754, 0.201)  0.11
O (0.193, 0.246, 0.799)  0.11
O (0.195, 0.444, 0.572)  0.14
O (0.695, 0.556, 0.428)  0.14
O (0.801, 0.549, 0.926)  0.12
O (0.301, 0.451, 0.074)  0.12
O (0.746, 0.230, 0.650)  0.10
O (0.246, 0.770, 0.350)  0.10
O (0.253, 0.767, 0.852)  0.10
O (0.753, 0.233, 0.148)  0.10

## Properties
V   10.499 Å³/atom
E_tot   -185.8 eV/cell
Theoretical density   4.5 g/cm³
Formation energy without anion corrections   -1483 meV per atom



(15)
The following is a DFT calculation (GGA-PBEsol) of CoNiPO2 after structural relaxation.

a b c (Å): 3.420 3.420 5.034
angles (deg): 90.00 90.00 90.00
Each line ends with the local moment (μB).
Positions (direct):
Ni (0.500, 0.500, 0.500)  -0.33
Co (0.000, 0.000, 0.000)  1.04
O (0.000, 0.500, 0.000)  0.28
O (0.500, 0.000, 0.000)  0.28
P (0.000, 0.000, 0.500)  -0.02

## Properties
V   11.777 Å³/atom
E_tot   -30.4 eV/cell
Theoretical density   5.1 g/cm³
Formation energy without anion corrections   -52 meV per atom



(16)
The following is a DFT calculation (GGA-PBEsol) of Sm2CoNiO6 after structural relaxation.

a b c (Å): 5.231 5.433 7.451
angles (deg): 90.00 90.03 90.00
Each line ends with the local moment (μB).
Positions (direct):
Sm (0.515, 0.439, 0.250)  0.01
Sm (0.985, 0.939, 0.250)  0.01
Sm (0.485, 0.561, 0.750)  0.01
Sm (0.015, 0.061, 0.750)  0.01
Co (0.000, 0.500, 0.500)  0.85
Co (0.500, 0.000, 0.000)  0.85
Ni (0.000, 0.500, 0.000)  0.59
Ni (0.500, 0.000, 0.500)  0.59
O (0.418, 0.016, 0.248)  0.04
O (0.082, 0.516, 0.252)  0.04
O (0.582, 0.984, 0.752)  0.04
O (0.918, 0.484, 0.748)  0.04
O (0.793, 0.203, 0.043)  0.04
O (0.707, 0.703, 0.457)  0.04
O (0.201, 0.791, 0.543)  0.04
O (0.299, 0.291, 0.957)  0.04
O (0.207, 0.797, 0.957)  0.04
O (0.293, 0.297, 0.543)  0.04
O (0.799, 0.209, 0.457)  0.04
O (0.701, 0.709, 0.043)  0.04

## Properties
V   10.588 Å³/atom
E_tot   -156.1 eV/cell
Theoretical density   8.1 g/cm³
Formation energy without anion corrections   -2247 meV per atom



(17)
The following is a DFT calculation (GGA-PBEsol) of CoNiOs2 after structural relaxation.

a b c (Å): 2.581 4.615 4.999
angles (deg): 116.64 103.57 92.93
Each line ends with the local moment (μB).
Positions (direct):
Co (0.000, 0.500, 0.000)  1.50
Ni (0.500, 0.000, 0.000)  0.25
Os (0.500, 0.500, 0.500)  0.20
Os (0.000, 0.000, 0.500)  0.20

## Properties
V   12.725 Å³/atom
E_tot   -36.5 eV/cell
Theoretical density   16.2 g/cm³
Energy relative to the elements   0.46 eV per atom



(18)
The following is a DFT calculation (GGA-PBEsol) of CoNiOs3 after structural relaxation.

a b c (Å): 4.316 4.316 4.316
angles (deg): 90.00 90.00 90.00
Each line ends with the local moment (μB).
Positions (direct):
Ni (0.000, 0.000, 0.000)  -0.39
Os (0.000, 0.500, 0.000)  -0.01
Os (0.000, 0.000, 0.500)  -0.01
Os (0.500, 0.000, 0.000)  -0.01
Co (0.500, 0.500, 0.500)  1.92

## Properties
V   16.084 Å³/atom
E_tot   -39.2 eV/cell
Theoretical density   14.2 g/cm³
Energy relative to the elements   2.27 eV per atom



(19)
The following is a DFT calculation (GGA-PBEsol) of CoNiOs2 after structural relaxation.

a b c (Å): 2.643 2.643 8.416
angles (deg): 80.97 80.97 60.00
Each line ends with the local moment (μB).
Positions (direct):
Co (0.502, 0.502, 0.493)  1.37
Ni (0.247, 0.247, 0.259)  0.36
Os (0.998, 0.998, 0.007)  -0.07
Os (0.753, 0.753, 0.742)  -0.05

## Properties
V   12.516 Å³/atom
E_tot   -37.5 eV/cell
Theoretical density   16.5 g/cm³
Energy relative to the elements   0.20 eV per atom



(20)
The following is a DFT calculation (GGA-PBEsol) of CoNiOs2 after structural relaxation.

a b c (Å): 4.100 4.100 4.100
angles (deg): 60.00 60.00 60.00
Each line ends with the local moment (μB).
Positions (direct):
Ni (0.500, 0.500, 0.500)  0.06
Os (0.250, 0.250, 0.250)  0.13
Os (0.750, 0.750, 0.750)  0.13
Co (0.000, 0.000, 0.000)  1.25

## Properties
V   12.185 Å³/atom
E_tot   -36.8 eV/cell
Theoretical density   17.0 g/cm³
Energy relative to the elements   0.37 eV per atom



(21)
The following is a DFT calculation (GGA-PBEsol) of CoNiOs2 after structural relaxation.

a b c (Å): 2.574 2.574 8.550
angles (deg): 90.00 90.00 116.28
Each line ends with the local moment (μB).
Positions (direct):
Co (0.500, 0.500, 0.500)  1.46
Ni (0.500, 0.500, 0.000)  -0.01
Os (0.000, 0.000, 0.251)  0.14
Os (0.000, 0.000, 0.749)  0.14

## Properties
V   12.702 Å³/atom
E_tot   -36.5 eV/cell
Theoretical density   16.3 g/cm³
Energy relative to the elements   0.46 eV per atom



(22)
The following is a DFT calculation (GGA-PBEsol) of CoNi2P after structural relaxation.

a b c (Å): 2.804 3.861 4.528
angles (deg): 115.23 108.03 90.00
Each line ends with the local moment (μB).
Positions (direct):
Co (0.784, 0.284, 0.568)  0.70
Ni (0.000, 0.000, 0.999)  0.09
Ni (0.217, 0.717, 0.434)  0.14
P (0.499, 0.499, 0.999)  0.00

## Properties
V   10.415 Å³/atom
E_tot   -27.0 eV/cell
Theoretical density   8.3 g/cm³
Energy relative to the elements   -0.28 eV per atom